Density functional theory data (SCAN) for MgScHg at its PBEsol-relaxed geometry.

a = 4.7392 Å, b = 4.7392 Å, c = 3.2579 Å
α = 90.00°, β = 90.00°, γ = 120.00°
Closest atoms and distances in Å follow each position.
Space group P-6m2 (No. 187)
Symmetry-distinct sites (fractional):
Mg 0.0000 0.0000 0.0000 [1 per cell]  3 Hg 2.74
Sc 0.3333 0.6667 0.5000 [1 per cell]  6 Mg 3.18, 6 Hg 3.18, 2 Sc 3.26
Hg 0.6667 0.3333 0.0000 [1 per cell]  3 Mg 2.74

Results
E_form ... -40.6 kJ/mol of atoms
D(E_F) ... 2.1 states/eV/cell

=====

Density functional theory data (SCAN) for CdSbPb at its PBEsol-relaxed geometry.

a = 4.4045 Å, b = 5.1449 Å, c = 13.8684 Å
α = 90.00°, β = 90.00°, γ = 90.00°
Closest atoms and distances in Å follow each position.
Space group Fmm2 (No. 42)
Symmetry-distinct sites (fractional):
Cd 0.0000 0.0000 0.0000 [4 per cell]  4 Sb 3.05-3.33, 2 Pb 3.16, 4 Cd 3.39
Sb 0.0000 0.0000 0.3474 [4 per cell]  4 Cd 3.05-3.33, 2 Pb 3.37, 4 Sb 3.39
Pb 0.0000 0.0000 0.6634 [4 per cell]  4 Cd 3.16-3.43, 2 Sb 3.37, 4 Pb 3.39

Results
Raw formation energy ... 2.9 kcal/mol of atoms
D(E_F) ... 5.6 states/eV/cell

=====

Density functional theory data (SCAN) for CuCl2 at its PBEsol-relaxed geometry.

a = 3.4508 Å, b = 3.4508 Å, c = 16.9777 Å
α = 90.00°, β = 90.00°, γ = 120.00°
Closest atoms and distances in Å follow each position.
Space group R-3m (No. 166, hexagonal axes)
Symmetry-distinct sites (fractional):
Cu 0.0000 0.0000 0.0000 [3 per cell]  6 Cl 2.39
Cl 0.0000 0.0000 0.2553 [6 per cell]  3 Cu 2.39

Results
Raw formation energy ... -13.2 kcal/mol of atoms
D(E_F) ... 10.7 states/eV/cell

=====

Density functional theory data (SCAN) for KLiMnSb2 at its PBEsol-relaxed geometry.

a = 5.8173 Å, b = 5.8173 Å, c = 5.2743 Å
α = 90.00°, β = 90.00°, γ = 90.00°
Closest atoms and distances in Å follow each position.
Space group P4/mmm (No. 123)
Symmetry-distinct sites (fractional):
K 0.0000 0.0000 0.0000 [1 per cell]  2 Mn 2.64, 4 Sb 2.91
Li 0.5000 0.5000 0.5000 [1 per cell]  8 Sb 3.93, 4 Mn 4.11
Mn 0.0000 0.0000 0.5000 [1 per cell]  2 K 2.64
Sb 0.0000 0.5000 0.0000 [2 per cell]  2 K 2.91

Results
Raw formation energy ... 25.4 kcal/mol of atoms
D(E_F) ... 2.8 states/eV/cell

=====

Density functional theory data (SCAN) for RbSr2Cl5 at its PBEsol-relaxed geometry.

a = 8.9432 Å, b = 7.8312 Å, c = 12.5763 Å
α = 90.00°, β = 90.20°, γ = 90.00°
Closest atoms and distances in Å follow each position.
Space group P2_1/c (No. 14)
Symmetry-distinct sites (fractional):
Rb 0.0106 0.0532 0.3332 [4 per cell]  7 Cl 3.20-3.42
Sr 0.2531 0.5674 0.4935 [4 per cell]  7 Cl 2.86-3.02
Sr 0.4988 0.5243 0.1775 [4 per cell]  8 Cl 2.95-3.07
Cl 0.0354 0.1723 0.0809 [4 per cell]  2 Sr 2.86-2.92, 1 Rb 3.20
Cl 0.2747 0.6915 0.7164 [4 per cell]  3 Sr 2.95-3.04, 1 Rb 3.30
Cl 0.2882 0.5492 0.9973 [4 per cell]  3 Sr 2.95-3.02
Cl 0.2890 0.1673 0.8159 [4 per cell]  3 Sr 2.91-3.07
Cl 0.4615 0.1607 0.1004 [4 per cell]  4 Sr 2.91-3.03

Results
Raw formation energy ... -61.0 kcal/mol of atoms
D(E_F) ... 0.0 states/eV/cell

=====

Density functional theory data (SCAN) for TcW at its PBEsol-relaxed geometry.

a = 9.2773 Å, b = 2.7840 Å, c = 4.7185 Å
α = 90.00°, β = 100.52°, γ = 90.00°
Closest atoms and distances in Å follow each position.
Space group C2/m (No. 12)
Symmetry-distinct sites (fractional):
Tc 0.1322 0.0000 0.3740 [4 per cell]  5 Tc 2.68-2.91, 7 W 2.71-2.77
W 0.1186 0.5000 0.8612 [4 per cell]  7 Tc 2.71-2.77, 5 W 2.76-2.90

Results
E_form ... 21.2 kJ/mol of atoms
D(E_F) ... 6.7 states/eV/cell
Distance to the lowest polymorph of the same formula ... 0.199 eV per atom

=====

Density functional theory data (SCAN) for ScZnTe2 at its PBEsol-relaxed geometry.

a = 7.2324 Å, b = 7.2324 Å, c = 7.2324 Å
α = 90.00°, β = 90.00°, γ = 90.00°
Closest atoms and distances in Å follow each position.
Space group F-43m (No. 216)
Symmetry-distinct sites (fractional):
Sc 0.0000 0.0000 0.0000 [4 per cell]  4 Zn 3.13, 4 Te 3.13
Zn 0.2500 0.2500 0.2500 [4 per cell]  4 Te 3.13, 4 Sc 3.13
Te 0.0000 0.0000 0.5000 [4 per cell]  4 Te 3.13, 4 Zn 3.13
Te 0.2500 0.2500 0.7500 [4 per cell]  4 Sc 3.13, 4 Te 3.13

Results
Raw formation energy ... -1.6 kcal/mol of atoms
D(E_F) ... 7.3 states/eV/cell

=====

Density functional theory data (SCAN) for Ce2ZnIn at its PBEsol-relaxed geometry.

a = 7.3542 Å, b = 7.3542 Å, c = 7.3542 Å
α = 90.00°, β = 90.00°, γ = 90.00°
Closest atoms and distances in Å follow each position.
Space group Fm-3m (No. 225)
Symmetry-distinct sites (fractional):
Ce 0.2500 0.2500 0.2500 [8 per cell]  4 In 3.18, 4 Zn 3.18
Zn 0.0000 0.0000 0.0000 [4 per cell]  8 Ce 3.18
In 0.0000 0.0000 0.5000 [4 per cell]  8 Ce 3.18

Results
E_form ... -30.4 kJ/mol of atoms
D(E_F) ... 27.2 states/eV/cell

=====

Density functional theory data (SCAN) for InIr5 at its PBEsol-relaxed geometry.

a = 2.7675 Å, b = 2.7675 Å, c = 11.6455 Å
α = 90.00°, β = 90.00°, γ = 90.00°
Closest atoms and distances in Å follow each position.
Space group P4/mmm (No. 123)
Symmetry-distinct sites (fractional):
In 0.0000 0.0000 0.0000 [1 per cell]  4 In 2.77, 8 Ir 2.86
Ir 0.0000 0.0000 0.3378 [2 per cell]  12 Ir 2.69-2.77
Ir 0.5000 0.5000 0.1790 [2 per cell]  8 Ir 2.69-2.77, 4 In 2.86
Ir 0.5000 0.5000 0.5000 [1 per cell]  12 Ir 2.72-2.77

Results
E_form ... 7.9 kJ/mol of atoms
D(E_F) ... 4.8 states/eV/cell

=====

Density functional theory data (SCAN) for LiYAs2 at its PBEsol-relaxed geometry.

a = 4.5409 Å, b = 4.5409 Å, c = 7.5852 Å
α = 90.00°, β = 90.00°, γ = 90.00°
Closest atoms and distances in Å follow each position.
Space group I4/mmm (No. 139)
Symmetry-distinct sites (fractional):
Li 0.0000 0.0000 0.0000 [2 per cell]  8 As 2.96, 4 Y 3.21
Y 0.0000 0.0000 0.5000 [2 per cell]  8 As 2.96, 4 Li 3.21
As 0.0000 0.5000 0.2500 [4 per cell]  4 Li 2.96, 4 Y 2.96, 4 As 3.21

Results
E_form ... -83.5 kJ/mol of atoms
D(E_F) ... 2.3 states/eV/cell
Distance to the lowest polymorph of the same formula ... 0.000 eV per atom

=====

Density functional theory data (SCAN) for CoF4 at its PBEsol-relaxed geometry.

a = 5.3470 Å, b = 5.3470 Å, c = 10.0004 Å
α = 90.00°, β = 90.00°, γ = 90.00°
Closest atoms and distances in Å follow each position.
Space group I4/mcm (No. 140)
Symmetry-distinct sites (fractional):
Co 0.0000 0.5000 0.0000 [4 per cell]  4 F 1.71
F 0.1619 0.3381 0.1192 [16 per cell]  1 Co 1.71

Results
Raw formation energy ... -36.3 kcal/mol of atoms

=====

Density functional theory data (SCAN) for SrTaTi3 at its PBEsol-relaxed geometry.

a = 4.6077 Å, b = 4.6077 Å, c = 4.6077 Å
α = 90.00°, β = 90.00°, γ = 90.00°
Closest atoms and distances in Å follow each position.
Space group Pm-3m (No. 221)
Symmetry-distinct sites (fractional):
Sr 0.0000 0.0000 0.0000 [1 per cell]  6 Ti 2.30
Ta 0.5000 0.5000 0.5000 [1 per cell]  12 Ti 3.26
Ti 0.0000 0.0000 0.5000 [3 per cell]  2 Sr 2.30

Results
E_form ... 200.2 kJ/mol of atoms
D(E_F) ... 8.6 states/eV/cell

=====

Density functional theory data (SCAN) for Al2CrRh at its PBEsol-relaxed geometry.

a = 2.7373 Å, b = 2.7373 Å, c = 7.3793 Å
α = 90.00°, β = 90.00°, γ = 90.00°
Closest atoms and distances in Å follow each position.
Space group P4mm (No. 99)
Symmetry-distinct sites (fractional):
Al 0.0000 0.0000 0.0000 [1 per cell]  4 Rh 2.60, 4 Al 2.74
Al 0.5000 0.5000 0.3059 [1 per cell]  4 Cr 2.61, 4 Al 2.74
Cr 0.0000 0.0000 0.5424 [1 per cell]  4 Rh 2.54, 4 Al 2.61, 4 Cr 2.74
Rh 0.5000 0.5000 0.7651 [1 per cell]  4 Cr 2.54, 4 Al 2.60, 4 Rh 2.74

Results
E_form ... -31.0 kJ/mol of atoms
D(E_F) ... 2.2 states/eV/cell
Distance to the lowest polymorph of the same formula ... 0.488 eV per atom

=====

Density functional theory data (SCAN) for CoTePb2O6 at its PBEsol-relaxed geometry.

a = 5.6642 Å, b = 5.6642 Å, c = 13.6688 Å
α = 90.00°, β = 90.00°, γ = 120.00°
Closest atoms and distances in Å follow each position.
Space group R-3 (No. 148, hexagonal axes)
Symmetry-distinct sites (fractional):
Co 0.0000 0.0000 0.0000 [3 per cell]  6 O 2.05
Te 0.0000 0.0000 0.5000 [3 per cell]  6 O 1.98
Pb 0.0000 0.0000 0.2501 [6 per cell]  9 O 2.55-2.83
O 0.0076 0.5543 0.2490 [18 per cell]  1 Te 1.98, 1 Co 2.05

Results
Raw formation energy ... -27.1 kcal/mol of atoms

=====

Density functional theory data (SCAN) for GeIO2 at its PBEsol-relaxed geometry.

a = 3.3726 Å, b = 3.3726 Å, c = 26.4024 Å
α = 90.00°, β = 90.00°, γ = 120.00°
Closest atoms and distances in Å follow each position.
Space group R-3m (No. 166, hexagonal axes)
Symmetry-distinct sites (fractional):
Ge 0.0000 0.0000 0.0000 [3 per cell]  2 O 1.63
I 0.0000 0.0000 0.5000 [3 per cell]  6 I 3.37, 6 O 3.39
O 0.0000 0.0000 0.0617 [6 per cell]  1 Ge 1.63

Results
Raw formation energy ... 0.3 kcal/mol of atoms
D(E_F) ... 3.9 states/eV/cell
Distance to the lowest polymorph of the same formula ... 0.918 eV per atom

=====

Density functional theory data (SCAN) for LaHg2Os at its PBEsol-relaxed geometry.

a = 4.4619 Å, b = 4.4619 Å, c = 8.5874 Å
α = 90.00°, β = 90.00°, γ = 90.00°
Closest atoms and distances in Å follow each position.
Space group I-4m2 (No. 119)
Symmetry-distinct sites (fractional):
La 0.0000 0.0000 0.0000 [2 per cell]  8 Hg 3.10-3.16, 4 Os 3.10
Hg 0.0000 0.0000 0.5000 [2 per cell]  4 Hg 3.10, 4 Os 3.10, 4 La 3.16
Hg 0.0000 0.5000 0.7500 [2 per cell]  4 Hg 3.10, 4 La 3.10, 4 Os 3.16
Os 0.0000 0.5000 0.2500 [2 per cell]  8 Hg 3.10-3.16, 4 La 3.10

Results
E_form ... 27.8 kJ/mol of atoms
D(E_F) ... 4.5 states/eV/cell

=====

Density functional theory data (SCAN) for Li2BeRu at its PBEsol-relaxed geometry.

a = 2.9878 Å, b = 2.9878 Å, c = 5.7799 Å
α = 90.00°, β = 90.00°, γ = 90.00°
Closest atoms and distances in Å follow each position.
Space group P4mm (No. 99)
Symmetry-distinct sites (fractional):
Li 0.0000 0.0000 0.0000 [1 per cell]  1 Ru 2.50, 4 Be 2.70, 4 Li 2.75
Li 0.5000 0.5000 0.3045 [1 per cell]  1 Be 2.33, 4 Ru 2.60
Be 0.5000 0.5000 0.7083 [1 per cell]  4 Ru 2.26, 1 Li 2.33
Ru 0.0000 0.0000 0.5677 [1 per cell]  4 Be 2.26, 1 Li 2.50

Results
E_form ... 3.0 kJ/mol of atoms
D(E_F) ... 2.0 states/eV/cell

=====

Density functional theory data (SCAN) for BaYZn2 at its PBEsol-relaxed geometry.

a = 3.7024 Å, b = 3.7024 Å, c = 7.6263 Å
α = 90.00°, β = 90.00°, γ = 90.00°
Closest atoms and distances in Å follow each position.
Space group P4/mmm (No. 123)
Symmetry-distinct sites (fractional):
Ba 0.0000 0.0000 0.0000 [1 per cell]  8 Zn 3.50, 4 Ba 3.70, 2 Y 3.81
Y 0.0000 0.0000 0.5000 [1 per cell]  8 Zn 3.01
Zn 0.5000 0.5000 0.3053 [2 per cell]  1 Zn 2.97, 4 Y 3.01

Results
E_form ... -28.4 kJ/mol of atoms
D(E_F) ... 2.6 states/eV/cell
Distance to the lowest polymorph of the same formula ... 0.000 eV per atom

=====

Density functional theory data (SCAN) for LiPPb2 at its PBEsol-relaxed geometry.

a = 7.2107 Å, b = 7.2107 Å, c = 7.2107 Å
α = 90.00°, β = 90.00°, γ = 90.00°
Closest atoms and distances in Å follow each position.
Space group F-43m (No. 216)
Symmetry-distinct sites (fractional):
Li 0.0000 0.0000 0.0000 [4 per cell]  4 P 3.12, 4 Pb 3.12
P 0.2500 0.2500 0.7500 [4 per cell]  4 Pb 3.12, 4 Li 3.12
Pb 0.0000 0.0000 0.5000 [4 per cell]  4 Pb 3.12, 4 P 3.12
Pb 0.2500 0.2500 0.2500 [4 per cell]  4 Li 3.12, 4 Pb 3.12

Results
E_form ... 17.3 kJ/mol of atoms
D(E_F) ... 13.4 states/eV/cell

=====

Density functional theory data (SCAN) for Ca2Au3 at its PBEsol-relaxed geometry.

a = 4.6141 Å, b = 4.6141 Å, c = 19.2540 Å
α = 90.00°, β = 90.00°, γ = 120.00°
Closest atoms and distances in Å follow each position.
Space group R-3m (No. 166, hexagonal axes)
Symmetry-distinct sites (fractional):
Ca 0.0000 0.0000 0.0902 [6 per cell]  9 Au 3.03-3.35
Au 0.0000 0.0000 0.3485 [6 per cell]  4 Au 2.73-2.92, 3 Ca 3.03
Au 0.0000 0.0000 0.5000 [3 per cell]  2 Au 2.92, 6 Ca 3.04

Results
E_form ... -81.4 kJ/mol of atoms
D(E_F) ... 5.0 states/eV/cell

=====

Density functional theory data (SCAN) for SrTaFe at its PBEsol-relaxed geometry.

a = 6.4871 Å, b = 6.4871 Å, c = 6.4871 Å
α = 90.00°, β = 90.00°, γ = 90.00°
Closest atoms and distances in Å follow each position.
Space group F-43m (No. 216)
Symmetry-distinct sites (fractional):
Sr 0.0000 0.0000 0.0000 [4 per cell]  4 Fe 2.81, 4 Ta 2.81
Ta 0.2500 0.2500 0.7500 [4 per cell]  4 Sr 2.81
Fe 0.2500 0.2500 0.2500 [4 per cell]  4 Sr 2.81

Results
E_form ... 237.3 kJ/mol of atoms
D(E_F) ... 16.1 states/eV/cell

=====

Density functional theory data (SCAN) for K3SeO4F at its PBEsol-relaxed geometry.

a = 7.2728 Å, b = 7.2728 Å, c = 11.4779 Å
α = 90.00°, β = 90.00°, γ = 90.00°
Closest atoms and distances in Å follow each position.
Space group I4/mcm (No. 140)
Symmetry-distinct sites (fractional):
K 0.0000 0.0000 0.2500 [4 per cell]  2 F 2.87, 8 O 3.02
K 0.1886 0.3114 0.0000 [8 per cell]  2 O 2.65, 2 F 2.65
Se 0.0000 0.5000 0.2500 [4 per cell]  4 O 1.66
O 0.1301 0.3699 0.3363 [16 per cell]  1 Se 1.66
F 0.0000 0.0000 0.0000 [4 per cell]  6 K 2.65-2.87

Results
Raw formation energy ... -43.2 kcal/mol of atoms
D(E_F) ... 0.0 states/eV/cell

=====

Density functional theory data (SCAN) for LaSeIN2 at its PBEsol-relaxed geometry.

a = 4.2002 Å, b = 4.2002 Å, c = 6.5141 Å
α = 90.00°, β = 90.00°, γ = 90.00°
Closest atoms and distances in Å follow each position.
Space group P4/mmm (No. 123)
Symmetry-distinct sites (fractional):
La 0.0000 0.0000 0.0000 [1 per cell]  4 N 2.10
Se 0.0000 0.0000 0.5000 [1 per cell]  4 I 2.97, 2 La 3.26
I 0.5000 0.5000 0.5000 [1 per cell]  4 Se 2.97
N 0.0000 0.5000 0.0000 [2 per cell]  2 La 2.10

Results
Raw formation energy ... 16.1 kcal/mol of atoms
D(E_F) ... 3.3 states/eV/cell
Distance to the lowest polymorph of the same formula ... 0.000 eV per atom

=====

Density functional theory data (SCAN) for AgIO3 at its PBEsol-relaxed geometry.

a = 5.6422 Å, b = 5.8388 Å, c = 17.3231 Å
α = 90.00°, β = 90.00°, γ = 90.00°
Closest atoms and distances in Å follow each position.
Space group Pbca (No. 61)
Symmetry-distinct sites (fractional):
Ag 0.0246 0.2121 0.0362 [8 per cell]  4 O 2.26-2.50
I 0.0064 0.1919 0.3333 [8 per cell]  3 O 1.85-1.87
O 0.1298 0.0998 0.4277 [8 per cell]  1 I 1.86
O 0.1572 0.5626 0.6222 [8 per cell]  1 I 1.87
O 0.2412 0.6486 0.7911 [8 per cell]  1 I 1.85

Results
Raw formation energy ... -8.3 kcal/mol of atoms
D(E_F) ... 0.0 states/eV/cell

=====

Density functional theory data (SCAN) for YHg2Ir at its PBEsol-relaxed geometry.

a = 3.8779 Å, b = 3.7911 Å, c = 11.7551 Å
α = 90.00°, β = 90.00°, γ = 90.00°
Closest atoms and distances in Å follow each position.
Space group Amm2 (No. 38)
Symmetry-distinct sites (fractional):
Y 0.0000 0.0000 0.0000 [2 per cell]  4 Ir 2.81
Hg 0.0000 0.0000 0.7287 [2 per cell]  2 Ir 2.75, 4 Hg 2.96
Hg 0.5000 0.0000 0.3302 [2 per cell]  1 Ir 2.73, 4 Hg 2.96
Ir 0.5000 0.0000 0.5627 [2 per cell]  3 Hg 2.73-2.75, 4 Y 2.81

Results
E_form ... -33.5 kJ/mol of atoms
D(E_F) ... 2.9 states/eV/cell
Distance to the lowest polymorph of the same formula ... 0.000 eV per atom

=====

The records above give, respectively, volume values of 63.4 78.6 58.4 178.5 220.2 30.0 94.6 99.4 89.2 78.2 71.5 97.8 55.3 126.6 86.7 85.5 51.6 104.5 93.7 118.3 68.2 151.8 114.9 71.3 86.4 Å³/f.u..
The records above give, respectively, magnetization values of 0.3 0.0 3.0 5.0 0.0 0.0 0.0 9.6 0.0 0.0 12.0 0.0 1.4 9.0 0.0 0.0 0.4 0.0 0.0 0.0 4.8 0.0 0.0 0.0 0.0 μB per cell.